[1]
Below is a relaxed structure of Y4Ag, with properties calculated at the GGA-PBEsol level.

## Properties
The density of states at the Fermi level is 5.8 states/eV/cell. The space group is No. 166. The calculation puts the total energy at -30.60 eV per formula unit. Its formation energy is 0.00 kcal/mol of atoms. Its density is 5.5 g cm⁻³. Its crystal system is trigonal.

Cell: 3.5067 3.5067 13.3153 Å, 82.43 82.43 60.00°
Sites, in units of the cell vectors:
Ag 0.0000 0.0000 0.0000
Y 0.6089 0.6089 0.1733
Y 0.3911 0.3911 0.8267
Y 0.7969 0.7969 0.6092
Y 0.2031 0.2031 0.3908

[2]
Below is a relaxed structure of Y2Ag, with properties calculated at the GGA-PBEsol level.

## Properties
The density of states at the Fermi level is 5.6 states/eV/cell. The space group is No. 63. The calculation puts the total energy at -17.57 eV per formula unit. Its formation energy is -4.75 kcal/mol of atoms. Its density is 6.2 g cm⁻³. Its crystal system is orthorhombic.

Cell: 3.5899 5.2103 8.3724 Å, 90.00 102.38 90.00°
Sites, in units of the cell vectors:
Y 0.5807 0.2500 0.1614
Y 0.4193 0.7500 0.8386
Ag 0.0737 0.7500 0.1475
Y 0.2782 0.2500 0.5564
Ag 0.9263 0.2500 0.8525
Y 0.7218 0.7500 0.4436

[3]
Below is a relaxed structure of Y3Ag2, with properties calculated at the GGA-PBEsol level.

## Properties
The density of states at the Fermi level is 4.0 states/eV/cell. The space group is No. 139. The calculation puts the total energy at -27.98 eV per formula unit. Its formation energy is -4.11 kcal/mol of atoms. Its density is 6.5 g cm⁻³. Its crystal system is tetragonal.

Cell: 3.6289 3.6289 9.7509 Å, 100.72 100.72 90.00°
Sites, in units of the cell vectors:
Ag 0.7876 0.7876 0.5751
Y 0.3740 0.3740 0.7479
Ag 0.2124 0.2124 0.4249
Y 0.6260 0.6260 0.2521
Y 0.0000 0.0000 0.0000

[4]
Below is a relaxed structure of Y3Ag5, with properties calculated at the GGA-PBEsol level.

## Properties
The density of states at the Fermi level is 5.8 states/eV/cell. The space group is No. 65. The calculation puts the total energy at -38.88 eV per formula unit. Its formation energy is -5.37 kcal/mol of atoms. Its density is 7.8 g cm⁻³. Its crystal system is orthorhombic.

Cell: 4.9260 6.0557 6.0557 Å, 108.43 90.00 90.00°
Sites, in units of the cell vectors:
Ag 0.0000 0.5000 0.0000
Ag 0.5000 0.2839 0.2839
Ag 0.0000 0.0000 0.5000
Ag 0.0000 0.0000 0.0000
Y 0.0000 0.5000 0.5000
Y 0.5000 0.2201 0.7799
Ag 0.5000 0.7161 0.7161
Y 0.5000 0.7799 0.2201

[5]
Below is a relaxed structure of YAg8, with properties calculated at the GGA-PBEsol level.

## Properties
The density of states at the Fermi level is 3.7 states/eV/cell. The space group is No. 139. The calculation puts the total energy at -33.87 eV per formula unit. Its formation energy is -1.43 kcal/mol of atoms. Its density is 9.9 g cm⁻³. Its crystal system is tetragonal.

Cell: 4.1928 6.5277 6.5277 Å, 84.08 71.27 71.27°
Sites, in units of the cell vectors:
Ag 0.3281 0.3438 0.0000
Ag 0.0000 0.3383 0.6617
Ag 0.3383 0.6617 0.6617
Ag 0.6719 0.0000 0.6562
Ag 0.0000 0.6617 0.3383
Y 0.0000 0.0000 0.0000
Ag 0.6617 0.3383 0.3383
Ag 0.6719 0.6562 0.0000
Ag 0.3281 0.0000 0.3438

[6]
Below is a relaxed structure of Y2Ag3, with properties calculated at the GGA-PBEsol level.

## Properties
The density of states at the Fermi level is 3.9 states/eV/cell. The space group is No. 166. The calculation puts the total energy at -23.11 eV per formula unit. Its formation energy is 2.15 kcal/mol of atoms. Its density is 7.6 g cm⁻³. Its crystal system is trigonal.

Cell: 3.2609 3.2609 12.0971 Å, 82.25 82.25 60.00°
Sites, in units of the cell vectors:
Y 0.7075 0.7075 0.8776
Y 0.2925 0.2925 0.1224
Ag 0.1083 0.1083 0.6750
Ag 0.5000 0.5000 0.5000
Ag 0.8917 0.8917 0.3250

[7]
Below is a relaxed structure of Y4Ag, with properties calculated at the GGA-PBEsol level.

## Properties
The density of states at the Fermi level is 5.0 states/eV/cell. The space group is No. 12. The calculation puts the total energy at -31.18 eV per formula unit. Its formation energy is -2.67 kcal/mol of atoms. Its density is 5.6 g cm⁻³. Its crystal system is monoclinic.

Cell: 3.6257 6.4298 6.4521 Å, 85.12 73.68 73.62°
Sites, in units of the cell vectors:
Y 0.5789 0.1940 0.6481
Y 0.7709 0.6496 0.8086
Y 0.4211 0.8060 0.3519
Y 0.2291 0.3504 0.1914
Ag 0.0000 0.0000 0.0000

[8]
Below is a relaxed structure of Y3Ag2, with properties calculated at the GGA-PBEsol level.

## Properties
The density of states at the Fermi level is 4.9 states/eV/cell. The space group is No. 12. The calculation puts the total energy at -27.92 eV per formula unit. Its formation energy is -3.84 kcal/mol of atoms. Its density is 6.6 g cm⁻³. Its crystal system is monoclinic.

Cell: 3.5117 5.8704 6.5123 Å, 77.80 74.36 72.60°
Sites, in units of the cell vectors:
Y 0.5000 0.0000 0.0000
Y 0.3365 0.5742 0.7528
Ag 0.1214 0.1517 0.6055
Y 0.6635 0.4258 0.2472
Ag 0.8786 0.8483 0.3945

[9]
Below is a relaxed structure of Y2Ag, with properties calculated at the GGA-PBEsol level.

## Properties
The density of states at the Fermi level is 7.9 states/eV/cell. The space group is No. 140. The calculation puts the total energy at -17.43 eV per formula unit. Its formation energy is -3.68 kcal/mol of atoms. Its density is 6.0 g cm⁻³. Its crystal system is tetragonal.

Cell: 5.9252 5.9252 5.9252 Å, 105.89 105.89 116.91°
Last column: magnetic moment on the atom in μB.
Sites, in units of the cell vectors:
Y 0.3312 0.1688 0.5000  0.30
Ag 0.7500 0.7500 0.0000  0.03
Ag 0.2500 0.2500 0.0000  0.03
Y 0.8312 0.3312 0.1624  0.30
Y 0.6688 0.8312 0.5000  0.30
Y 0.1688 0.6688 0.8376  0.30

[10]
Below is a relaxed structure of Y5Ag4, with properties calculated at the GGA-PBEsol level.

## Properties
The density of states at the Fermi level is 18.9 states/eV/cell. The space group is No. 193. The calculation puts the total energy at -49.17 eV per formula unit. Its formation energy is -4.64 kcal/mol of atoms. Its density is 6.6 g cm⁻³. Its crystal system is hexagonal.

Cell: 6.3841 8.8981 8.8981 Å, 120.00 90.00 90.00°
Sites, in units of the cell vectors:
Ag 0.7500 0.6122 0.6122
Ag 0.7500 0.0000 0.3878
Ag 0.2500 0.6122 0.0000
Y 0.2500 0.7179 0.7179
Y 0.5000 0.3333 0.6667
Y 0.0000 0.6667 0.3333
Y 0.2500 0.0000 0.2821
Y 0.5000 0.6667 0.3333
Ag 0.2500 0.0000 0.6122
Y 0.7500 0.0000 0.7179
Ag 0.0000 0.0000 0.0000
Y 0.7500 0.7179 0.0000
Y 0.7500 0.2821 0.2821
Ag 0.7500 0.3878 0.0000
Y 0.0000 0.3333 0.6667
Ag 0.5000 0.0000 0.0000
Y 0.2500 0.2821 0.0000
Ag 0.2500 0.3878 0.3878

[11]
Below is a relaxed structure of Y2Ag3, with properties calculated at the GGA-PBEsol level.

## Properties
The density of states at the Fermi level is 3.3 states/eV/cell. The space group is No. 139. The calculation puts the total energy at -25.19 eV per formula unit. Its formation energy is -7.43 kcal/mol of atoms. Its density is 7.8 g cm⁻³. Its crystal system is tetragonal.

Cell: 3.6236 3.6236 8.5620 Å, 102.22 102.22 90.00°
Sites, in units of the cell vectors:
Ag 0.7073 0.7073 0.4146
Ag 0.2927 0.2927 0.5854
Y 0.8922 0.8922 0.7844
Y 0.1078 0.1078 0.2156
Ag 0.5000 0.5000 0.0000

[12]
Below is a relaxed structure of Y2Ag, with properties calculated at the GGA-PBEsol level.

## Properties
The density of states at the Fermi level is 4.5 states/eV/cell. The space group is No. 123. The calculation puts the total energy at -16.76 eV per formula unit. Its formation energy is 1.50 kcal/mol of atoms. Its density is 5.6 g cm⁻³. Its crystal system is tetragonal.

Cell: 3.4014 5.0114 5.0114 Å, 90.00 90.00 90.00°
Sites, in units of the cell vectors:
Y 0.5000 0.5000 0.0000
Ag 0.0000 0.0000 0.0000
Y 0.5000 0.0000 0.5000

[13]
Below is a relaxed structure of Y4Ag, with properties calculated at the GGA-PBEsol level.

## Properties
The density of states at the Fermi level is 6.5 states/eV/cell. The space group is No. 139. The calculation puts the total energy at -31.12 eV per formula unit. Its formation energy is -2.40 kcal/mol of atoms. Its density is 5.6 g cm⁻³. Its crystal system is tetragonal.

Cell: 3.5098 3.5098 11.5155 Å, 98.77 98.77 90.00°
Sites, in units of the cell vectors:
Y 0.1956 0.1956 0.3912
Y 0.8044 0.8044 0.6088
Y 0.4177 0.4177 0.8353
Ag 0.0000 0.0000 0.0000
Y 0.5823 0.5823 0.1647